No. 1
# TbHfC PBE optimized geometry
data_TbHfC
_chemical_formula_sum 'Tb2 Hf2 C2'
_space_group_name_H-M_alt 'P 1'
_space_group_IT_number 1
_space_group_name_Hall 'P 1'
_cell_length_a 3.4118
_cell_length_b 3.4118
_cell_length_c 11.6371
_cell_angle_alpha 90.00
_cell_angle_beta 90.00
_cell_angle_gamma 120.00
loop_
_atom_site_label
_atom_site_type_symbol
_atom_site_fract_x
_atom_site_fract_y
_atom_site_fract_z
_atom_site_occupancy
Tb1 Tb 0.0000 0.0000 0.1554 1
Tb2 Tb 0.0000 0.0000 0.8446 1
Hf1 Hf 0.3333 0.6667 0.6204 1
Hf2 Hf 0.6667 0.3333 0.3796 1
C1 C 0.3333 0.6667 0.2829 1
C2 C 0.6667 0.3333 0.7171 1
# - E_form: -0.410 eV/atom
# - Magnetic moment: 0.00 μB per atom
# - Energy above the most stable polymorph in this dataset: 0.0 meV/atom
# - N(E_F): 2.500 states/eV/f.u.

=====

No. 2
# Dy2Er3Sc7 PBE optimized geometry
data_Dy2Er3Sc7
_chemical_formula_sum 'Dy2 Er3 Sc7'
_space_group_name_H-M_alt 'P 1'
_space_group_IT_number 1
_space_group_name_Hall 'P 1'
_cell_length_a 5.4348
_cell_length_b 3.4147
_cell_length_c 17.6397
_cell_angle_alpha 90.00
_cell_angle_beta 92.95
_cell_angle_gamma 90.00
loop_
_atom_site_label
_atom_site_type_symbol
_atom_site_fract_x
_atom_site_fract_y
_atom_site_fract_z
_atom_site_occupancy
Dy1 Dy 0.2090 0.0000 0.2906 1
Dy2 Dy 0.7910 0.0000 0.7094 1
Er1 Er 0.0000 0.0000 0.0000 1
Er2 Er 0.2766 0.5000 0.6305 1
Er3 Er 0.7234 0.5000 0.3695 1
Sc1 Sc 0.1953 0.5000 0.1410 1
Sc2 Sc 0.2431 0.0000 0.4627 1
Sc3 Sc 0.3037 0.0000 0.8273 1
Sc4 Sc 0.5000 0.5000 0.0000 1
Sc5 Sc 0.6963 0.0000 0.1727 1
Sc6 Sc 0.7569 0.0000 0.5373 1
Sc7 Sc 0.8047 0.5000 0.8590 1
# - E_form: 0.101 eV/atom
# - Magnetic moment: 0.00 μB per atom
# - Energy above the most stable polymorph in this dataset: 0.0 meV/atom
# - N(E_F): 17.639 states/eV/f.u.

=====

Copy entry 1 word for word.
# TbHfC PBE optimized geometry
data_TbHfC
_chemical_formula_sum 'Tb2 Hf2 C2'
_space_group_name_H-M_alt 'P 1'
_space_group_IT_number 1
_space_group_name_Hall 'P 1'
_cell_length_a 3.4118
_cell_length_b 3.4118
_cell_length_c 11.6371
_cell_angle_alpha 90.00
_cell_angle_beta 90.00
_cell_angle_gamma 120.00
loop_
_atom_site_label
_atom_site_type_symbol
_atom_site_fract_x
_atom_site_fract_y
_atom_site_fract_z
_atom_site_occupancy
Tb1 Tb 0.0000 0.0000 0.1554 1
Tb2 Tb 0.0000 0.0000 0.8446 1
Hf1 Hf 0.3333 0.6667 0.6204 1
Hf2 Hf 0.6667 0.3333 0.3796 1
C1 C 0.3333 0.6667 0.2829 1
C2 C 0.6667 0.3333 0.7171 1
# - E_form: -0.410 eV/atom
# - Magnetic moment: 0.00 μB per atom
# - Energy above the most stable polymorph in this dataset: 0.0 meV/atom
# - N(E_F): 2.500 states/eV/f.u.

=====

Look up the E_form of the second one.
0.101 eV/atom

=====

Please write out number 1 again, unchanged.
# TbHfC PBE optimized geometry
data_TbHfC
_chemical_formula_sum 'Tb2 Hf2 C2'
_space_group_name_H-M_alt 'P 1'
_space_group_IT_number 1
_space_group_name_Hall 'P 1'
_cell_length_a 3.4118
_cell_length_b 3.4118
_cell_length_c 11.6371
_cell_angle_alpha 90.00
_cell_angle_beta 90.00
_cell_angle_gamma 120.00
loop_
_atom_site_label
_atom_site_type_symbol
_atom_site_fract_x
_atom_site_fract_y
_atom_site_fract_z
_atom_site_occupancy
Tb1 Tb 0.0000 0.0000 0.1554 1
Tb2 Tb 0.0000 0.0000 0.8446 1
Hf1 Hf 0.3333 0.6667 0.6204 1
Hf2 Hf 0.6667 0.3333 0.3796 1
C1 C 0.3333 0.6667 0.2829 1
C2 C 0.6667 0.3333 0.7171 1
# - E_form: -0.410 eV/atom
# - Magnetic moment: 0.00 μB per atom
# - Energy above the most stable polymorph in this dataset: 0.0 meV/atom
# - N(E_F): 2.500 states/eV/f.u.

=====

N(E_F) of number 2 (Dy2Er3Sc7)?
17.639 states/eV/f.u.